Record 1
Material: AlSi3
Method: DFT, PBE-GGA
State: relaxed

Unit cell a=3.4057 b=4.0365 c=8.8214 alpha=90.00 beta=90.00 gamma=90.00
Space group Immm (No. 71)
One atom of each set of equivalent atoms:
1 Al 0.0000 0.0000 0.0000
2 Si 0.0000 0.0000 0.5000
3 Si 0.0000 0.5000 0.2232

Results
* distance to the lowest polymorph of the same formula: 0.36 eV per formula unit
* formation energy without anion corrections: 345 meV per atom
* spin magnetization: 0.00 μB per atom
* calculated total energy: -4.658 eV/atom

***

Record 2
Material: Al4Si
Method: DFT, PBE-GGA
State: relaxed

Unit cell a=4.8029 b=4.8029 c=4.8029 alpha=90.00 beta=90.00 gamma=90.00
Space group Pm-3m (No. 221)
One atom of each set of equivalent atoms:
1 Al 0.0000 0.0000 0.0000
2 Al 0.0000 0.5000 0.5000
3 Si 0.5000 0.5000 0.5000

Results
* distance to the lowest polymorph of the same formula: 2.68 eV per formula unit
* formation energy without anion corrections: 614 meV per atom
* spin magnetization: 0.00 μB per atom
* calculated total energy: -3.465 eV/atom

***

Record 3
Material: AlSi3
Method: DFT, PBE-GGA
State: relaxed

Unit cell a=6.9876 b=7.4583 c=4.8454 alpha=90.00 beta=90.00 gamma=90.00
Space group Cmcm (No. 63)
One atom of each set of equivalent atoms:
1 Al 0.0000 0.0941 0.2500
2 Si 0.0000 0.4713 0.7500
3 Si 0.2131 0.1927 0.7500

Results
* distance to the lowest polymorph of the same formula: 0.04 eV per formula unit
* formation energy without anion corrections: 264 meV per atom
* spin magnetization: 0.00 μB per atom
* calculated total energy: -4.739 eV/atom

***

Record 4
Material: AlSi
Method: DFT, PBE-GGA
State: relaxed

Unit cell a=2.8445 b=2.8445 c=7.5743 alpha=90.00 beta=90.00 gamma=90.00
Space group P4/nmm (No. 129, origin choice 2)
One atom of each set of equivalent atoms:
1 Al 0.2500 0.2500 0.1304
2 Si 0.2500 0.2500 0.6227

Results
* formation energy without anion corrections: 233 meV per atom
* spin magnetization: 0.00 μB per atom
* calculated total energy: -4.349 eV/atom